(1)
# Cs3Li2NdBr8

Cs3Li2NdBr8 after structural relaxation (PBE, the Alexandria database).

Geometry as POSCAR:
```
Cs3Li2NdBr8
1.0
7.986 0.000 0.000
-3.993 6.916 0.000
0.000 0.000 10.281
Cs Li Nd Br
3 2 1 8
direct
0.000 0.000 0.000 Cs
0.333 0.667 0.648 Cs
0.667 0.333 0.352 Cs
0.333 0.667 0.209 Li
0.667 0.333 0.791 Li
0.000 0.000 0.500 Nd
0.168 0.335 0.333 Br
0.168 0.832 0.333 Br
0.333 0.667 0.979 Br
0.335 0.168 0.667 Br
0.665 0.832 0.333 Br
0.667 0.333 0.021 Br
0.832 0.168 0.667 Br
0.832 0.665 0.667 Br
```

## Properties
As for the space-group type: P-3m1. The uncorrected formation energy is -166.6 kJ/mol of atoms.

***

(2)
# CsLi4Nd3Br12

CsLi4Nd3Br12 after structural relaxation (PBE, the Alexandria database).

Geometry as POSCAR:
```
CsLi4Nd3Br12
1.0
7.935 4.581 3.327
-7.935 4.581 3.327
0.000 -9.162 3.327
Cs Li Nd Br
1 4 3 12
direct
0.000 0.000 0.000 Cs
0.086 0.500 0.914 Li
0.500 0.500 0.500 Li
0.500 0.914 0.086 Li
0.914 0.086 0.500 Li
0.000 0.579 0.421 Nd
0.421 0.000 0.579 Nd
0.579 0.421 0.000 Nd
0.073 0.662 0.763 Br
0.074 0.926 0.500 Br
0.237 0.338 0.927 Br
0.338 0.927 0.237 Br
0.347 0.653 0.500 Br
0.500 0.074 0.926 Br
0.500 0.347 0.653 Br
0.653 0.500 0.347 Br
0.662 0.763 0.073 Br
0.763 0.073 0.662 Br
0.926 0.500 0.074 Br
0.927 0.237 0.338 Br
```

## Properties
As for the space-group type: R32. The uncorrected formation energy is -153.6 kJ/mol of atoms.

***

(3)
# Cs2LiNdBr6

Cs2LiNdBr6 after structural relaxation (PBE, the Alexandria database).

Geometry as POSCAR:
```
Cs2LiNdBr6
1.0
0.000 5.679 5.679
5.679 0.000 5.679
5.679 5.679 0.000
Cs Li Nd Br
2 1 1 6
direct
0.250 0.250 0.250 Cs
0.750 0.750 0.750 Cs
0.000 0.000 0.000 Li
0.500 0.500 0.500 Nd
0.246 0.246 0.754 Br
0.246 0.754 0.246 Br
0.246 0.754 0.754 Br
0.754 0.246 0.246 Br
0.754 0.246 0.754 Br
0.754 0.754 0.246 Br
```

## Properties
As for the space-group type: Fm-3m. The uncorrected formation energy is -174.8 kJ/mol of atoms.

***

(4)
# CsLiNiBr4

CsLiNiBr4 after structural relaxation (PBE, the Alexandria database).

Geometry as POSCAR:
```
CsLiNiBr4
1.0
5.755 0.000 0.000
0.000 7.608 0.000
-2.660 0.000 10.471
Cs Li Ni Br
2 2 2 8
direct
0.153 0.250 0.363 Cs
0.847 0.750 0.637 Cs
0.408 0.250 0.997 Li
0.592 0.750 0.003 Li
0.295 0.750 0.201 Ni
0.705 0.250 0.799 Ni
0.042 0.750 0.993 Br
0.248 0.750 0.414 Br
0.442 0.007 0.812 Br
0.442 0.493 0.812 Br
0.558 0.507 0.188 Br
0.558 0.993 0.188 Br
0.752 0.250 0.586 Br
0.958 0.250 0.007 Br
```

## Properties
As for the space-group type: P2_1/m. The uncorrected formation energy is -100.4 kJ/mol of atoms.

***

(5)
# Cs2LiNiBr6

Cs2LiNiBr6 after structural relaxation (PBE, the Alexandria database).

Geometry as POSCAR:
```
Cs2LiNiBr6
1.0
7.619 0.000 0.000
-3.809 6.598 0.000
0.000 0.000 6.518
Cs Li Ni Br
2 1 1 6
direct
0.333 0.667 0.266 Cs
0.667 0.333 0.734 Cs
0.000 0.000 0.000 Li
0.000 0.000 0.500 Ni
0.154 0.307 0.724 Br
0.154 0.846 0.724 Br
0.307 0.154 0.276 Br
0.693 0.846 0.724 Br
0.846 0.154 0.276 Br
0.846 0.693 0.276 Br
```

## Properties
As for the space-group type: P-3m1. The uncorrected formation energy is -110.5 kJ/mol of atoms.

***

(6)
# Cs2LiNiBr6

Cs2LiNiBr6 after structural relaxation (PBE, the Alexandria database).

Geometry as POSCAR:
```
Cs2LiNiBr6
1.0
-3.768 3.768 5.422
3.768 -3.768 5.422
3.768 3.768 -5.422
Cs Li Ni Br
2 1 1 6
direct
0.250 0.750 0.500 Cs
0.750 0.250 0.500 Cs
0.000 0.000 0.000 Li
0.500 0.500 0.000 Ni
0.261 0.261 0.522 Br
0.261 0.739 0.000 Br
0.274 0.274 0.000 Br
0.726 0.726 0.000 Br
0.739 0.261 0.000 Br
0.739 0.739 0.478 Br
```

## Properties
As for the space-group type: I4/mmm. The uncorrected formation energy is -105.2 kJ/mol of atoms.

***

(7)
# CsLiNp2Br8

CsLiNp2Br8 after structural relaxation (PBE, the Alexandria database).

Geometry as POSCAR:
```
CsLiNp2Br8
1.0
7.251 0.000 0.000
-1.131 7.210 0.000
-0.083 -0.019 9.124
Cs Li Np Br
1 1 2 8
direct
0.000 0.000 0.000 Cs
0.000 0.000 0.500 Li
0.499 0.500 0.261 Np
0.501 0.500 0.739 Np
0.252 0.159 0.303 Br
0.263 0.154 0.706 Br
0.284 0.630 0.500 Br
0.294 0.612 0.998 Br
0.706 0.388 0.002 Br
0.716 0.370 0.500 Br
0.737 0.846 0.294 Br
0.748 0.841 0.697 Br
```

## Properties
As for the space-group type: P-1. The uncorrected formation energy is -134.1 kJ/mol of atoms.

***

(8)
# CsLiNpBr5

CsLiNpBr5 after structural relaxation (PBE, the Alexandria database).

Geometry as POSCAR:
```
CsLiNpBr5
1.0
4.885 -6.584 0.000
4.885 6.584 0.000
-4.337 0.000 10.064
Cs Li Np Br
2 2 2 10
direct
0.156 0.844 0.750 Cs
0.844 0.156 0.250 Cs
0.194 0.806 0.250 Li
0.806 0.194 0.750 Li
0.500 0.500 0.000 Np
0.500 0.500 0.500 Np
0.126 0.269 0.917 Br
0.200 0.605 0.399 Br
0.269 0.126 0.417 Br
0.395 0.800 0.101 Br
0.429 0.571 0.750 Br
0.571 0.429 0.250 Br
0.605 0.200 0.899 Br
0.731 0.874 0.583 Br
0.800 0.395 0.601 Br
0.874 0.731 0.083 Br
```

## Properties
As for the space-group type: C2/c. The uncorrected formation energy is -145.1 kJ/mol of atoms.

***

(9)
# Cs3Li2NpBr9

Cs3Li2NpBr9 after structural relaxation (PBE, the Alexandria database).

Geometry as POSCAR:
```
Cs3Li2NpBr9
1.0
7.988 0.000 0.000
-3.994 6.918 0.000
0.000 0.000 10.020
Cs Li Np Br
3 2 1 9
direct
0.000 0.000 0.000 Cs
0.333 0.667 0.695 Cs
0.667 0.333 0.305 Cs
0.333 0.667 0.095 Li
0.667 0.333 0.905 Li
0.000 0.000 0.500 Np
0.000 0.500 0.000 Br
0.164 0.328 0.341 Br
0.164 0.836 0.341 Br
0.328 0.164 0.659 Br
0.500 0.000 0.000 Br
0.500 0.500 0.000 Br
0.672 0.836 0.341 Br
0.836 0.164 0.659 Br
0.836 0.672 0.659 Br
```

## Properties
As for the space-group type: P-3m1. The uncorrected formation energy is -151.8 kJ/mol of atoms.

***

(10)
# CsLi2NpBr8

CsLi2NpBr8 after structural relaxation (PBE, the Alexandria database).

Geometry as POSCAR:
```
CsLi2NpBr8
1.0
6.900 0.000 0.000
2.112 6.614 0.000
0.360 0.250 10.286
Cs Li Np Br
1 2 1 8
direct
0.000 0.000 0.000 Cs
0.500 0.500 0.151 Li
0.500 0.500 0.849 Li
0.000 0.000 0.500 Np
0.231 0.758 0.687 Br
0.232 0.238 0.502 Br
0.248 0.775 0.313 Br
0.331 0.330 0.008 Br
0.669 0.670 0.992 Br
0.752 0.225 0.687 Br
0.768 0.762 0.498 Br
0.769 0.242 0.313 Br
```

## Properties
As for the space-group type: P-1. The uncorrected formation energy is -126.4 kJ/mol of atoms.

***

(11)
# Cs2LiBr6O

Cs2LiBr6O after structural relaxation (PBE, the Alexandria database).

Geometry as POSCAR:
```
Cs2LiBr6O
1.0
-4.229 4.229 4.928
4.229 -4.229 4.928
4.229 4.229 -4.928
Cs Li Br O
2 1 6 1
direct
0.250 0.750 0.500 Cs
0.750 0.250 0.500 Cs
0.000 0.000 0.000 Li
0.215 0.215 0.430 Br
0.215 0.785 0.000 Br
0.292 0.292 0.000 Br
0.708 0.708 0.000 Br
0.785 0.215 0.000 Br
0.785 0.785 0.570 Br
0.500 0.500 0.000 O
```

## Properties
As for the space-group type: I4/mmm. The uncorrected formation energy is -67.0 kJ/mol of atoms.

***

(12)
# CsLi2OsBr

CsLi2OsBr after structural relaxation (PBE, the Alexandria database).

Geometry as POSCAR:
```
CsLi2OsBr
1.0
6.039 0.000 0.000
0.000 6.039 0.000
0.000 0.000 5.007
Cs Li Os Br
1 2 1 1
direct
0.000 0.000 0.000 Cs
0.000 0.500 0.000 Li
0.500 0.000 0.000 Li
0.000 0.000 0.500 Os
0.500 0.500 0.500 Br
```

## Properties
As for the space-group type: P4/mmm. The uncorrected formation energy is 137.9 kJ/mol of atoms.

***

| no. | N(E_F) (states/eV per cell) |
| --- | --- |
| 1 | 0.000 |
| 2 | 9.547 |
| 3 | 0.000 |
| 4 | 1.178 |
| 5 | 4.438 |
| 6 | 1.856 |
| 7 | 8.980 |
| 8 | 12.793 |
| 9 | 5.356 |
| 10 | 8.247 |
| 11 | 9.644 |
| 12 | 1.012 |